This record from Alexandria describes a relaxed structure of SiAs2Br. The functional is PBE.

The structure in extended XYZ format:
```
4
Lattice="1.8718 1.0807 8.1948 -1.8718 1.0807 8.1948 0.0000 -2.1614 8.1948" Properties=species:S:1:pos:R:3 pbc="T T T"
Si 0.0000 0.0000 0.0000
As 0.0000 0.0000 11.1097
As 0.0000 0.0000 17.7573
Br 0.0000 0.0000 6.4721
```

Values from the calculation:
- Formation energy without anion corrections: 0.2131 eV/atom
- Energy above the lowest structure with this stoichiometry: 0.1560 eV per atom

---

This record from Alexandria describes a relaxed structure of HfSc3N4. The functional is PBE.

The structure in extended XYZ format:
```
8
Lattice="3.1978 -4.5121 0.0000 3.1978 4.5121 0.0000 0.0000 0.0000 3.1963" Properties=species:S:1:pos:R:3 pbc="T T T"
Hf 0.0000 0.0000 0.0000
Sc 1.5989 2.2561 1.5981
Sc 1.5989 -2.2561 1.5981
Sc 3.1978 0.0000 0.0000
N 1.5692 0.0000 1.5981
N 3.1978 2.2812 0.0000
N 3.1978 -2.2812 0.0000
N 4.8264 0.0000 1.5981
```

Values from the calculation:
- Formation energy without anion corrections: -1.9543 eV/atom